DFT (GGA-PBE) results for crystalline FeTcAs2Br at its relaxed geometry.

The structure in POSCAR format:
```
FeTcAs2Br
1.0
4.706 0.000 0.000
0.000 4.706 0.000
0.000 0.000 5.477
Fe Tc As Br
1 1 2 1
direct
0.000 0.000 0.000 Fe
0.500 0.500 0.500 Tc
0.000 0.500 0.500 As
0.500 0.000 0.500 As
0.500 0.500 0.000 Br
```

Computed properties:
energy above the lowest structure with this stoichiometry = 0.0000 eV/atom
magnetization = 0.74 μB per atom
energy relative to the elements, uncorrected = 80.3 kJ per mole of atoms
energy = -25.6 eV/cell
volume = 24.26 Å³/atom